No. 1
Entry from the Alexandria database: a geometry-optimized GaSi2Bi structure (GGA-PBE).

```
GaSi2Bi
1.0
0.0000 3.4971 3.4971
3.4971 0.0000 3.4971
3.4971 3.4971 0.0000
Ga Si Bi
1 2 1
direct
0.0000 0.0000 0.0000
0.2500 0.2500 0.2500
0.7500 0.7500 0.7500
0.5000 0.5000 0.5000
```

Properties
Uncorrected formation energy   564 meV per atom

***

No. 2
Entry from the Alexandria database: a geometry-optimized GaSi2Bi structure (GGA-PBE).

```
GaSi2Bi
1.0
-2.9815 2.9815 6.0013
2.9815 -2.9815 6.0013
2.9815 2.9815 -6.0013
Ga Si Bi
2 4 2
direct
0.0000 0.0000 0.0000
0.7500 0.2500 0.5000
0.0834 0.6250 0.9584
0.3750 0.3334 0.4584
0.6666 0.1250 0.0416
0.8750 0.9166 0.5416
0.2500 0.7500 0.5000
0.5000 0.5000 0.0000
```

Properties
Uncorrected formation energy   251 meV per atom

***

No. 3
Entry from the Alexandria database: a geometry-optimized Ga2SiBi structure (GGA-PBE).

```
Ga2SiBi
1.0
0.0000 3.5156 3.5156
3.5156 0.0000 3.5156
3.5156 3.5156 0.0000
Ga Si Bi
2 1 1
direct
0.2500 0.2500 0.2500
0.7500 0.7500 0.7500
0.0000 0.0000 0.0000
0.5000 0.5000 0.5000
```

Properties
Uncorrected formation energy   355 meV per atom